Record 1
The following is a PBE-GGA calculation of ErLuInIr after structural relaxation, from the Alexandria database.

Unit cell a=7.0719 b=7.0719 c=7.0719 alpha=90.00 beta=90.00 gamma=90.00
Closest atoms and distances in Å follow each position.
Space group F-43m (No. 216)
Asymmetric unit:
Er: 0.0000 0.0000 0.0000 x4  4 In 3.06, 4 Ir 3.06
Lu: 0.0000 0.0000 0.5000 x4  4 In 3.06, 4 Ir 3.06
In: 0.2500 0.2500 0.2500 x4  4 Er 3.06, 4 Lu 3.06
Ir: 0.2500 0.2500 0.7500 x4  4 Er 3.06, 4 Lu 3.06

Results
V	353.7	Å³/cell
VASP energy	-5.77	eV/atom


Record 2
The following is a PBE-GGA calculation of PtRhIN2 after structural relaxation, from the Alexandria database.

Unit cell a=3.7571 b=3.7571 c=8.8026 alpha=90.00 beta=90.00 gamma=90.00
Closest atoms and distances in Å follow each position.
Space group P4/mmm (No. 123)
Asymmetric unit:
Pt: 0.0000 0.0000 0.0000 x1  4 N 1.88
Rh: 0.5000 0.5000 0.5000 x1  4 I 2.66
I: 0.0000 0.0000 0.5000 x1  4 Rh 2.66
N: 0.0000 0.5000 0.0000 x2  2 Pt 1.88

Results
V	124.3	Å³/cell
ΔE to the lowest computed polymorph	0.080	eV per atom
E_form (uncorrected)	6.42	eV/f.u.


Record 3
The following is a PBE-GGA calculation of NiSnTe2I after structural relaxation, from the Alexandria database.

Unit cell a=5.1162 b=5.1162 c=5.3425 alpha=90.00 beta=90.00 gamma=90.00
Closest atoms and distances in Å follow each position.
Space group P4/mmm (No. 123)
Asymmetric unit:
Ni: 0.0000 0.0000 0.0000 x1  4 Te 2.56, 2 I 2.67
Sn: 0.5000 0.5000 0.5000 x1  4 I 3.62, 8 Te 3.70
Te: 0.0000 0.5000 0.0000 x2  2 Ni 2.56
I: 0.0000 0.0000 0.5000 x1  2 Ni 2.67

Results
V	139.8	Å³/cell
ΔE to the lowest computed polymorph	0.000	eV per atom
E_form (uncorrected)	0.67	eV/f.u.


Record 4
The following is a PBE-GGA calculation of CsDyScSe3 after structural relaxation, from the Alexandria database.

Unit cell a=9.6115 b=4.3973 c=10.5464 alpha=90.00 beta=111.47 gamma=90.00
Closest atoms and distances in Å follow each position.
Space group P2_1/m (No. 11)
Asymmetric unit:
Cs: 0.2205 0.2500 0.2371 x2  7 Se 3.65-4.08
Dy: 0.3367 0.7500 0.8687 x2  6 Se 2.81-3.07
Sc: 0.0890 0.2500 0.6105 x2  4 Se 2.58-2.71
Se: 0.1286 0.2500 0.8657 x2  1 Sc 2.58
Se: 0.2027 0.7500 0.5562 x2  3 Sc 2.61-2.71
Se: 0.4779 0.7500 0.1540 x2  3 Dy 2.81-2.89

Results
V	414.8	Å³/cell
E_form (uncorrected)	-9.54	eV/f.u.